# 1
Below is an optimized crystal structure of TbRhAu, with properties calculated at the PBE-GGA level.

CIF file:
```
data_TbRhAu
_symmetry_space_group_name_H-M 'P 1'
_symmetry_Int_Tables_number 1
_cell_length_a 4.981
_cell_length_b 5.672
_cell_length_c 4.840
_cell_angle_alpha 90.00
_cell_angle_beta 120.97
_cell_angle_gamma 90.00
loop_
_symmetry_equiv_pos_as_xyz
'x,y,z'
loop_
_atom_site_label
_atom_site_fract_x
_atom_site_fract_y
_atom_site_fract_z
Tb1 0.662 0.750 0.824
Tb2 0.338 0.250 0.176
Rh1 0.320 0.750 0.141
Rh2 0.680 0.250 0.859
Au1 0.000 0.500 0.500
Au2 0.000 0.000 0.500
```

E above lowest polymorph in eV/atom: 0.0000
Magnetic moment in μB per formula unit: 0.0
E in eV per cell: -34.551
Symmetry: Cmcm, No. 63
Calculated formation energy in eV per formula unit: -2.0
Fermi-level density of states in states/eV per cell: 3.6



# 2
Below is an optimized crystal structure of Tb5Rh2Au, with properties calculated at the PBE-GGA level.

CIF file:
```
data_Tb5Rh2Au
_symmetry_space_group_name_H-M 'P 1'
_symmetry_Int_Tables_number 1
_cell_length_a 7.683
_cell_length_b 7.683
_cell_length_c 8.612
_cell_angle_alpha 116.49
_cell_angle_beta 116.49
_cell_angle_gamma 90.00
loop_
_symmetry_equiv_pos_as_xyz
'x,y,z'
loop_
_atom_site_label
_atom_site_fract_x
_atom_site_fract_y
_atom_site_fract_z
Tb1 0.524 0.698 0.723
Tb2 0.802 0.976 0.277
Tb3 0.000 0.000 0.000
Tb4 0.500 0.500 0.000
Tb5 0.198 0.024 0.723
Tb6 0.698 0.198 0.723
Tb7 0.024 0.524 0.723
Tb8 0.302 0.802 0.277
Tb9 0.976 0.476 0.277
Tb10 0.476 0.302 0.277
Rh1 0.137 0.363 0.000
Rh2 0.637 0.137 0.000
Rh3 0.363 0.863 0.000
Rh4 0.863 0.637 0.000
Au1 0.750 0.750 0.500
Au2 0.250 0.250 0.500
```

Magnetic moment in μB per formula unit: 0.0
E in eV per cell: -93.672
Symmetry: I4/mcm, No. 140
Calculated formation energy in eV per formula unit: -5.7
Fermi-level density of states in states/eV per cell: 16.4



# 3
Below is an optimized crystal structure of TbRhAu4, with properties calculated at the PBE-GGA level.

CIF file:
```
data_TbRhAu4
_symmetry_space_group_name_H-M 'P 1'
_symmetry_Int_Tables_number 1
_cell_length_a 5.477
_cell_length_b 5.477
_cell_length_c 5.477
_cell_angle_alpha 60.00
_cell_angle_beta 60.00
_cell_angle_gamma 60.00
loop_
_symmetry_equiv_pos_as_xyz
'x,y,z'
loop_
_atom_site_label
_atom_site_fract_x
_atom_site_fract_y
_atom_site_fract_z
Tb1 0.000 0.000 0.000
Au1 0.625 0.625 0.126
Au2 0.625 0.126 0.625
Au3 0.625 0.625 0.625
Au4 0.126 0.625 0.625
Rh1 0.250 0.250 0.250
```

Magnetic moment in μB per formula unit: 0.0
E in eV per cell: -26.958
Symmetry: F-43m, No. 216
Calculated formation energy in eV per formula unit: -1.9
Fermi-level density of states in states/eV per cell: 1.6



# 4
Below is an optimized crystal structure of Tb5RhAu2, with properties calculated at the PBE-GGA level.

CIF file:
```
data_Tb5RhAu2
_symmetry_space_group_name_H-M 'P 1'
_symmetry_Int_Tables_number 1
_cell_length_a 4.781
_cell_length_b 7.363
_cell_length_c 11.647
_cell_angle_alpha 90.00
_cell_angle_beta 90.00
_cell_angle_gamma 90.00
loop_
_symmetry_equiv_pos_as_xyz
'x,y,z'
loop_
_atom_site_label
_atom_site_fract_x
_atom_site_fract_y
_atom_site_fract_z
Tb1 0.000 0.000 0.500
Tb2 0.000 0.500 0.000
Tb3 0.000 0.846 0.206
Tb4 0.000 0.154 0.794
Tb5 0.000 0.654 0.706
Tb6 0.000 0.346 0.294
Tb7 0.500 0.680 0.414
Tb8 0.500 0.320 0.586
Tb9 0.500 0.820 0.914
Tb10 0.500 0.180 0.086
Rh1 0.000 0.500 0.500
Rh2 0.000 0.000 0.000
Au1 0.500 0.569 0.162
Au2 0.500 0.431 0.838
Au3 0.500 0.931 0.662
Au4 0.500 0.069 0.338
```

Magnetic moment in μB per formula unit: 0.0
E in eV per cell: -85.100
Symmetry: Pbam, No. 55
Calculated formation energy in eV per formula unit: -5.5
Fermi-level density of states in states/eV per cell: 12.9



# 5
Below is an optimized crystal structure of Tb5Rh4Au, with properties calculated at the PBE-GGA level.

CIF file:
```
data_Tb5Rh4Au
_symmetry_space_group_name_H-M 'P 1'
_symmetry_Int_Tables_number 1
_cell_length_a 3.457
_cell_length_b 3.457
_cell_length_c 17.615
_cell_angle_alpha 90.00
_cell_angle_beta 90.00
_cell_angle_gamma 90.00
loop_
_symmetry_equiv_pos_as_xyz
'x,y,z'
loop_
_atom_site_label
_atom_site_fract_x
_atom_site_fract_y
_atom_site_fract_z
Tb1 0.500 0.500 0.111
Tb2 0.500 0.500 0.305
Tb3 0.500 0.500 0.500
Tb4 0.500 0.500 0.695
Tb5 0.500 0.500 0.889
Rh1 0.000 0.000 0.206
Rh2 0.000 0.000 0.402
Rh3 0.000 0.000 0.598
Rh4 0.000 0.000 0.794
Au1 0.000 0.000 0.000
```

Magnetic moment in μB per formula unit: 0.0
E in eV per cell: -64.247
Symmetry: P4/mmm, No. 123
Calculated formation energy in eV per formula unit: -8.4
Fermi-level density of states in states/eV per cell: 7.9



# 6
Below is an optimized crystal structure of Tb8Rh3Au2, with properties calculated at the PBE-GGA level.

CIF file:
```
data_Tb8Rh3Au2
_symmetry_space_group_name_H-M 'P 1'
_symmetry_Int_Tables_number 1
_cell_length_a 4.910
_cell_length_b 9.877
_cell_length_c 8.537
_cell_angle_alpha 125.32
_cell_angle_beta 90.00
_cell_angle_gamma 90.00
loop_
_symmetry_equiv_pos_as_xyz
'x,y,z'
loop_
_atom_site_label
_atom_site_fract_x
_atom_site_fract_y
_atom_site_fract_z
Tb1 0.000 0.620 0.239
Tb2 0.000 0.380 0.761
Tb3 0.000 0.121 0.242
Tb4 0.000 0.879 0.758
Tb5 0.500 0.633 0.760
Tb6 0.500 0.127 0.760
Tb7 0.500 0.873 0.240
Tb8 0.500 0.367 0.240
Rh1 0.500 0.000 0.000
Rh2 0.000 0.250 0.000
Rh3 0.000 0.750 0.000
Au1 0.500 0.255 0.509
Au2 0.500 0.745 0.491
```

Magnetic moment in μB per formula unit: 0.0
E in eV per cell: -73.681
Symmetry: Cmmm, No. 65
Calculated formation energy in eV per formula unit: -8.0
Fermi-level density of states in states/eV per cell: 14.2



# 7
Below is an optimized crystal structure of Tb2RhAu, with properties calculated at the PBE-GGA level.

CIF file:
```
data_Tb2RhAu
_symmetry_space_group_name_H-M 'P 1'
_symmetry_Int_Tables_number 1
_cell_length_a 4.029
_cell_length_b 4.029
_cell_length_c 7.419
_cell_angle_alpha 74.24
_cell_angle_beta 74.24
_cell_angle_gamma 60.00
loop_
_symmetry_equiv_pos_as_xyz
'x,y,z'
loop_
_atom_site_label
_atom_site_fract_x
_atom_site_fract_y
_atom_site_fract_z
Tb1 0.073 0.073 0.780
Tb2 0.260 0.260 0.220
Rh1 0.665 0.665 0.005
Au1 0.502 0.502 0.495
```

Magnetic moment in μB per formula unit: 0.0
E in eV per cell: -22.867
Symmetry: R3m, No. 160
Calculated formation energy in eV per formula unit: -3.0
Fermi-level density of states in states/eV per cell: 2.2



# 8
Below is an optimized crystal structure of Tb5Rh3Au12, with properties calculated at the PBE-GGA level.

CIF file:
```
data_Tb5Rh3Au12
_symmetry_space_group_name_H-M 'P 1'
_symmetry_Int_Tables_number 1
_cell_length_a 13.911
_cell_length_b 13.911
_cell_length_c 13.911
_cell_angle_alpha 109.47
_cell_angle_beta 109.47
_cell_angle_gamma 109.47
loop_
_symmetry_equiv_pos_as_xyz
'x,y,z'
loop_
_atom_site_label
_atom_site_fract_x
_atom_site_fract_y
_atom_site_fract_z
Rh1 0.750 0.375 0.125
Rh2 0.875 0.750 0.125
Rh3 0.375 0.750 0.625
Rh4 0.250 0.125 0.375
Rh5 0.875 0.125 0.250
Rh6 0.375 0.625 0.250
Rh7 0.625 0.375 0.750
Rh8 0.125 0.875 0.750
Rh9 0.750 0.875 0.625
Rh10 0.625 0.250 0.375
Rh11 0.125 0.250 0.875
Rh12 0.250 0.625 0.875
Tb1 0.125 0.375 0.250
Tb2 0.000 0.500 0.000
Tb3 0.000 0.000 0.000
Tb4 0.375 0.250 0.125
Tb5 0.500 0.000 0.500
Tb6 0.500 0.500 0.000
Tb7 0.125 0.750 0.375
Tb8 0.750 0.125 0.875
Tb9 0.750 0.625 0.375
Tb10 0.375 0.125 0.750
Tb11 0.625 0.875 0.250
Tb12 0.500 0.500 0.500
Tb13 0.500 0.000 0.000
Tb14 0.000 0.000 0.500
Tb15 0.250 0.375 0.625
Tb16 0.250 0.875 0.125
Tb17 0.000 0.500 0.500
Tb18 0.875 0.250 0.625
Tb19 0.625 0.750 0.875
Tb20 0.875 0.625 0.750
Au1 0.738 0.144 0.076
Au2 0.338 0.576 0.432
Au3 0.924 0.356 0.262
Au4 0.576 0.238 0.144
Au5 0.595 0.738 0.662
Au6 0.924 0.568 0.162
Au7 0.338 0.762 0.405
Au8 0.068 0.905 0.144
Au9 0.568 0.924 0.662
Au10 0.738 0.595 0.162
Au11 0.762 0.424 0.356
Au12 0.838 0.932 0.076
Au13 0.144 0.738 0.576
Au14 0.356 0.432 0.095
Au15 0.095 0.932 0.356
Au16 0.405 0.144 0.568
Au17 0.095 0.162 0.238
Au18 0.424 0.662 0.068
Au19 0.838 0.905 0.262
Au20 0.144 0.405 0.068
Au21 0.356 0.924 0.762
Au22 0.568 0.644 0.405
Au23 0.932 0.838 0.576
Au24 0.762 0.338 0.905
Au25 0.432 0.356 0.595
Au26 0.068 0.162 0.424
Au27 0.238 0.662 0.095
Au28 0.162 0.095 0.738
Au29 0.644 0.076 0.238
Au30 0.856 0.595 0.932
Au31 0.576 0.338 0.932
Au32 0.595 0.856 0.432
Au33 0.905 0.838 0.762
Au34 0.905 0.068 0.644
Au35 0.856 0.262 0.424
Au36 0.162 0.068 0.924
Au37 0.644 0.568 0.905
Au38 0.432 0.076 0.338
Au39 0.262 0.405 0.838
Au40 0.238 0.576 0.644
Au41 0.932 0.095 0.856
Au42 0.662 0.238 0.595
Au43 0.424 0.762 0.856
Au44 0.076 0.432 0.838
Au45 0.405 0.262 0.338
Au46 0.076 0.644 0.738
Au47 0.662 0.424 0.568
Au48 0.262 0.856 0.924
```

Magnetic moment in μB per formula unit: 0.0
E in eV per cell: -341.316
Symmetry: Ia-3d, No. 230
Calculated formation energy in eV per formula unit: -0.8
Fermi-level density of states in states/eV per cell: 53.3